[1]
PBE Ac4Hg3Bi8, relaxed; energy = -3.77 eV/atom; space-group type = P-4m2; magnetization = 0.0 μB per cell; DOS at the Fermi energy = 5.70 states/eV per cell
1.0
4.863 0.000 0.000
0.000 4.863 0.000
0.000 0.000 21.076
Ac Hg Bi
4 3 8
Cartesian
0.000 2.431 2.490
0.000 2.431 13.209
2.431 0.000 7.867
2.431 0.000 18.585
0.000 0.000 0.000
0.000 0.000 10.538
2.431 2.431 10.538
0.000 0.000 5.202
0.000 0.000 15.874
0.000 2.431 8.315
0.000 2.431 19.218
2.431 0.000 1.858
2.431 0.000 12.761
2.431 2.431 5.230
2.431 2.431 15.845

***

[2]
PBE Ac4HgBi3, relaxed; energy = -4.32 eV/atom; space-group type = Pm-3m; magnetization = 0.0 μB per cell; DOS at the Fermi energy = 8.75 states/eV per cell
1.0
6.867 0.000 0.000
0.000 6.867 0.000
0.000 0.000 6.867
Ac Hg Bi
4 1 3
Cartesian
0.000 0.000 0.000
0.000 3.433 3.433
3.433 0.000 3.433
3.433 3.433 0.000
3.433 3.433 3.433
0.000 0.000 3.433
0.000 3.433 0.000
3.433 0.000 0.000

***

[3]
PBE Ac2Hg16Bi, relaxed; energy = -1.03 eV/atom; space-group type = R3m; magnetization = 0.0 μB per cell; DOS at the Fermi energy = 9.66 states/eV per cell
1.0
4.919 2.840 6.395
-4.919 2.840 6.395
0.000 -5.680 6.395
Ac Hg Bi
2 16 1
Cartesian
0.000 0.000 0.000
0.000 0.000 7.663
0.000 -2.281 4.658
-1.976 1.141 4.658
-2.312 -1.335 9.973
0.000 -3.408 9.130
-2.951 1.704 9.130
-1.446 -2.506 13.263
-2.893 0.000 13.263
1.976 1.141 4.658
0.000 0.000 11.427
2.312 -1.335 9.973
0.000 2.670 9.973
1.446 -2.506 13.263
-1.447 2.505 13.263
2.951 1.704 9.130
2.893 0.000 13.263
1.447 2.505 13.263
0.000 0.000 15.766